Here is a relaxed structure of KCr2W from Alexandria via LeMat-Bulk. Energies are from PBEsol.

abc: 2.851 2.851 8.919
angles: 90.00 90.00 90.00
Positions (direct):
W 0.500 0.500 0.834
K 0.000 0.000 0.484
Cr 0.500 0.500 0.160
Cr 0.000 0.000 0.022

Output
* relative energy among the computed polymorphs: 47.7 meV per atom
* DOS(E_F): 2.9 states/eV per cell
* formation energy from the elements: 992 meV per atom
* total DFT energy (no corrections): -7.864 eV per atom
* symmetry: P4mm, No. 99